Entry 1:
The following is a DFT calculation (PBE) of a relaxed structure of ErSnGe2.

Calculated values
Raw total energy = -16.79 eV/cell
Distance to the lowest polymorph of the same formula = 627 meV per atom
DFT formation energy = 0.2536 eV/atom
Space-group type = R-3m, No. 166
Total magnetization = 0.000 μB/f.u.

a = 4.673 Å, b = 4.673 Å, c = 7.674 Å
α = 72.27°, β = 72.27°, γ = 60.00°
Positions (direct):
Er 0.500 0.500 0.500
Ge 0.881 0.881 0.356
Ge 0.119 0.119 0.644
Sn 0.000 0.000 0.000

---

Entry 2:
The following is a DFT calculation (PBE) of a relaxed structure of ErSnGe.

Calculated values
Raw total energy = -14.11 eV/cell
DFT formation energy = -0.3099 eV/atom
Space-group type = P3m1, No. 156
Total magnetization = 0.000 μB/f.u.

a = 3.606 Å, b = 4.837 Å, c = 4.837 Å
α = 120.00°, β = 90.00°, γ = 90.00°
Positions (direct):
Ge 0.137 0.000 0.000
Sn 0.191 0.333 0.667
Er 0.672 0.667 0.333

---

Entry 3:
The following is a DFT calculation (PBE) of a relaxed structure of Er6SnGe2Te3.

Calculated values
Raw total energy = -63.24 eV/cell
Energy relative to the elements, uncorrected = -1100 meV per atom
Space-group type = C2/m, No. 12
Total magnetization = 0.000 μB/f.u.

a = 4.242 Å, b = 8.644 Å, c = 9.604 Å
α = 103.56°, β = 102.76°, γ = 90.00°
Positions (direct):
Er 0.010 0.249 0.019
Er 0.675 0.566 0.349
Er 0.325 0.434 0.651
Er 0.334 0.892 0.667
Er 0.666 0.108 0.333
Er 0.990 0.751 0.981
Te 0.836 0.167 0.671
Te 0.164 0.833 0.329
Te 0.500 0.500 0.000
Ge 0.832 0.664 0.665
Ge 0.168 0.336 0.335
Sn 0.500 0.000 0.000